Entry 1:
DFT (PBE) results for AlSbIr2 after structural relaxation.

Cell lengths 9.1405, 3.3186, 4.4570 Å; angles 90.00, 104.35, 90.00 degrees
Last column: nearest neighbours and their distance in Å.
Space group Cm (No. 8)
Unique sites:
Al1 0.0000 0.0000 0.0000 (multiplicity 2)  7 Ir 2.60-2.82
Sb1 0.2612 0.5000 0.3801 (multiplicity 2)  7 Ir 2.61-2.87
Ir1 0.2706 0.0000 0.9097 (multiplicity 2)  3 Al 2.60-2.63, 4 Sb 2.69-2.87
Ir2 0.4986 0.0000 0.5122 (multiplicity 2)  3 Sb 2.61-2.68, 4 Al 2.73-2.82

Results
Polymorph energy (0 for the lowest one): 0 meV/atom
Total energy: -53.4 eV per cell
Volume: 65.5 Å³/f.u.

=====

Entry 2:
DFT (PBE) results for AlSb4Ir after structural relaxation.

Cell lengths 8.5342, 8.5342, 8.5342 Å; angles 90.00, 90.00, 90.00 degrees
Last column: nearest neighbours and their distance in Å.
Space group F-43m (No. 216)
Unique sites:
Al1 0.0000 0.0000 0.0000 (multiplicity 4)  12 Sb 3.54, 4 Ir 3.70
Sb1 0.1256 0.1256 0.3744 (multiplicity 16)  6 Sb 3.00-3.03
Ir1 0.2500 0.2500 0.7500 (multiplicity 4)  12 Sb 3.54, 4 Al 3.70

Results
Total energy: -93.4 eV per cell
Volume: 155.4 Å³/f.u.

=====

Entry 3:
DFT (PBE) results for AlSbIr2 after structural relaxation.

Cell lengths 3.0364, 3.0662, 6.9636 Å; angles 90.00, 90.60, 90.00 degrees
Last column: nearest neighbours and their distance in Å.
Space group P2/m (No. 10)
Unique sites:
Al1 0.0000 0.0000 0.0000 (multiplicity 1)  8 Ir 2.62
Sb1 0.0000 0.0000 0.5000 (multiplicity 1)  8 Ir 2.92-2.96, 4 Sb 3.04-3.07
Ir1 0.4933 0.5000 0.7860 (multiplicity 2)  4 Al 2.62, 2 Sb 2.92

Results
Polymorph energy (0 for the lowest one): 5 meV/atom
Total energy: -26.7 eV per cell
Volume: 64.8 Å³/f.u.

=====

Entry 4:
DFT (PBE) results for AlSbIr2 after structural relaxation.

Cell lengths 5.9224, 7.1798, 3.0333 Å; angles 90.00, 90.00, 90.00 degrees
Last column: nearest neighbours and their distance in Å.
Space group Cmmm (No. 65)
Unique sites:
Al1 0.0000 0.0000 0.0000 (multiplicity 2)  8 Ir 2.78, 2 Sb 2.96, 2 Al 3.03
Sb1 0.0000 0.5000 0.0000 (multiplicity 2)  8 Ir 2.78, 2 Al 2.96, 2 Sb 3.03
Ir1 0.2500 0.2500 0.5000 (multiplicity 4)  4 Al 2.78, 4 Sb 2.78, 4 Ir 2.96-3.03

Results
Polymorph energy (0 for the lowest one): 110 meV/atom
Total energy: -52.5 eV per cell
Volume: 64.5 Å³/f.u.

=====

Entry 5:
DFT (PBE) results for AlSbIr after structural relaxation.

Cell lengths 3.0587, 3.0587, 11.9467 Å; angles 90.00, 90.00, 90.00 degrees
Last column: nearest neighbours and their distance in Å.
Space group I4mm (No. 107)
Unique sites:
Al1 0.0000 0.0000 0.0000 (multiplicity 2)  4 Ir 2.56
Sb1 0.0000 0.0000 0.2863 (multiplicity 2)  4 Ir 2.98, 4 Sb 3.06
Ir1 0.0000 0.0000 0.6148 (multiplicity 2)  4 Al 2.56

Results
Total energy: -34.3 eV per cell
Volume: 55.9 Å³/f.u.

=====

Entry 6:
DFT (PBE) results for Al4SbIr after structural relaxation.

Cell lengths 7.4543, 7.4543, 7.4543 Å; angles 90.00, 90.00, 90.00 degrees
Last column: nearest neighbours and their distance in Å.
Space group F-43m (No. 216)
Unique sites:
Al1 0.1250 0.1250 0.1250 (multiplicity 16)  6 Al 2.64
Sb1 0.0000 0.0000 0.5000 (multiplicity 4)  12 Al 3.09, 4 Ir 3.23
Ir1 0.2500 0.2500 0.7500 (multiplicity 4)  12 Al 3.09, 4 Sb 3.23

Results
Total energy: -105.7 eV per cell
Volume: 103.6 Å³/f.u.

=====

Entry 7:
DFT (PBE) results for AlSbIr2 after structural relaxation.

Cell lengths 2.9840, 2.9840, 7.9249 Å; angles 90.00, 90.00, 90.00 degrees
Last column: nearest neighbours and their distance in Å.
Space group P4mm (No. 99)
Unique sites:
Al1 0.0000 0.0000 0.0000 (multiplicity 1)  4 Ir 2.54
Sb1 0.5000 0.5000 0.6510 (multiplicity 1)  4 Ir 2.76, 4 Sb 2.98
Ir1 0.0000 0.0000 0.4259 (multiplicity 1)  4 Sb 2.76, 8 Ir 2.88-2.98
Ir2 0.5000 0.5000 0.1788 (multiplicity 1)  4 Al 2.54

Results
Polymorph energy (0 for the lowest one): 261 meV/atom
Total energy: -25.7 eV per cell
Volume: 70.6 Å³/f.u.

=====

Entry 8:
DFT (PBE) results for AlSbIr2 after structural relaxation.

Cell lengths 2.9668, 5.0676, 9.0294 Å; angles 90.00, 90.00, 90.00 degrees
Last column: nearest neighbours and their distance in Å.
Space group Cmmm (No. 65)
Unique sites:
Al1 0.0000 0.0000 0.0000 (multiplicity 2)  4 Ir 2.47
Sb1 0.0000 0.0000 0.5000 (multiplicity 2)  6 Sb 2.94-2.97, 4 Ir 2.94
Ir1 0.0000 0.5000 0.2190 (multiplicity 4)  2 Al 2.47

Results
Polymorph energy (0 for the lowest one): 306 meV/atom
Total energy: -51.0 eV per cell
Volume: 67.9 Å³/f.u.

=====

Entry 9:
DFT (PBE) results for AlSbIr after structural relaxation.

Cell lengths 4.2186, 4.2186, 3.7992 Å; angles 90.00, 90.00, 120.00 degrees
Last column: nearest neighbours and their distance in Å.
Space group P-6m2 (No. 187)
Unique sites:
Al1 0.0000 0.0000 0.0000 (multiplicity 1)  3 Ir 2.44
Sb1 0.3333 0.6667 0.5000 (multiplicity 1)  6 Al 3.09, 6 Ir 3.09
Ir1 0.6667 0.3333 0.0000 (multiplicity 1)  3 Al 2.44

Results
Total energy: -16.8 eV per cell
Volume: 58.6 Å³/f.u.

=====

Entry 10:
DFT (PBE) results for AlSbIr after structural relaxation.

Cell lengths 13.9317, 3.0895, 5.4054 Å; angles 90.00, 90.00, 90.00 degrees
Last column: nearest neighbours and their distance in Å.
Space group Amm2 (No. 38)
Unique sites:
Al1 0.0000 0.0000 0.0000 (multiplicity 2)  2 Sb 2.97, 6 Al 3.09-3.11
Al2 0.5000 0.0000 0.0029 (multiplicity 2)  6 Ir 2.60
Sb1 0.2134 0.0000 0.0032 (multiplicity 4)  3 Ir 2.77, 1 Al 2.97, 2 Sb 3.09
Ir1 0.3646 0.0000 0.3349 (multiplicity 4)  3 Al 2.60, 3 Sb 2.77

Results
Total energy: -67.2 eV per cell
Volume: 58.2 Å³/f.u.

=====

Entry 11:
DFT (PBE) results for AlSb3Ir after structural relaxation.

Cell lengths 5.0683, 5.0683, 5.0683 Å; angles 90.00, 90.00, 90.00 degrees
Last column: nearest neighbours and their distance in Å.
Space group Pm-3m (No. 221)
Unique sites:
Al1 0.0000 0.0000 0.0000 (multiplicity 1)  6 Sb 2.53
Sb1 0.0000 0.0000 0.5000 (multiplicity 3)  2 Al 2.53
Ir1 0.5000 0.5000 0.5000 (multiplicity 1)  12 Sb 3.58

Results
Polymorph energy (0 for the lowest one): 552 meV/atom
Total energy: -19.1 eV per cell
Volume: 130.2 Å³/f.u.

=====

Entry 12:
DFT (PBE) results for AlSbIr2 after structural relaxation.

Cell lengths 3.0955, 3.0955, 25.0550 Å; angles 90.00, 90.00, 120.00 degrees
Last column: nearest neighbours and their distance in Å.
Space group R3m (No. 160, hexagonal axes)
Unique sites:
Al1 0.0000 0.0000 0.0000 (multiplicity 3)  3 Ir 2.48
Sb1 0.0000 0.0000 0.7640 (multiplicity 3)  3 Ir 2.67
Ir1 0.0000 0.0000 0.2649 (multiplicity 3)  3 Al 2.48
Ir2 0.0000 0.0000 0.5098 (multiplicity 3)  3 Sb 2.67, 3 Ir 2.85

Results
Polymorph energy (0 for the lowest one): 430 meV/atom
Total energy: -75.0 eV per cell
Volume: 69.3 Å³/f.u.

=====

Look up the total energy of the first one.
-53.4 eV per cell

=====

Repeat the first record exactly.
DFT (PBE) results for AlSbIr2 after structural relaxation.

Cell lengths 9.1405, 3.3186, 4.4570 Å; angles 90.00, 104.35, 90.00 degrees
Last column: nearest neighbours and their distance in Å.
Space group Cm (No. 8)
Unique sites:
Al1 0.0000 0.0000 0.0000 (multiplicity 2)  7 Ir 2.60-2.82
Sb1 0.2612 0.5000 0.3801 (multiplicity 2)  7 Ir 2.61-2.87
Ir1 0.2706 0.0000 0.9097 (multiplicity 2)  3 Al 2.60-2.63, 4 Sb 2.69-2.87
Ir2 0.4986 0.0000 0.5122 (multiplicity 2)  3 Sb 2.61-2.68, 4 Al 2.73-2.82

Results
Polymorph energy (0 for the lowest one): 0 meV/atom
Total energy: -53.4 eV per cell
Volume: 65.5 Å³/f.u.

=====

The highest total energy belongs to which entry?
number 9

=====

Which value of total energy does entry 3 give?
-26.7 eV per cell